Density functional theory data (PBE-GGA) for crystalline ZnGaN2F at its relaxed geometry.

Values from the calculation:
The value obtained for the calculated density is 5.015 g/cm3. The calculation puts the total DFT energy (no corrections) at -19.2 eV per cell. The calculation puts the magnetic moment at 0.6 μB per formula unit.

Unit cell a=3.891 b=3.891 c=3.985 alpha=90.00 beta=90.00 gamma=90.00
Space group P4/mmm (No. 123)
Unique sites:
Zn: 0.000 0.000 0.000
Ga: 0.500 0.500 0.500
N: 0.000 0.500 0.000
F: 0.000 0.000 0.500

Density functional theory data (PBE-GGA) for crystalline ZrGaNF2 at its relaxed geometry.

Values from the calculation:
The value obtained for the calculated density is 5.666 g/cm3. The calculation puts the total DFT energy (no corrections) at -28.4 eV per cell. The calculation puts the magnetic moment at 1.1 μB per formula unit.

Unit cell a=4.090 b=4.090 c=3.731 alpha=90.00 beta=90.00 gamma=90.00
Space group P4/mmm (No. 123)
Unique sites:
Zr: 0.000 0.000 0.000
Ga: 0.500 0.500 0.500
N: 0.500 0.500 0.000
F: 0.000 0.500 0.500

Density functional theory data (PBE-GGA) for crystalline ZrGaNF2 at its relaxed geometry.

Values from the calculation:
The value obtained for the calculated density is 4.488 g/cm3. The calculation puts the total DFT energy (no corrections) at -32.3 eV per cell. The calculation puts the magnetic moment at 0.0 μB per formula unit.

Unit cell a=4.320 b=4.320 c=4.221 alpha=90.00 beta=90.00 gamma=90.00
Space group P4/mmm (No. 123)
Unique sites:
Zr: 0.000 0.000 0.000
Ga: 0.500 0.500 0.500
N: 0.000 0.000 0.500
F: 0.000 0.500 0.000

Density functional theory data (PBE-GGA) for crystalline ZrGaN2F at its relaxed geometry.

Values from the calculation:
The value obtained for the calculated density is 6.084 g/cm3. The calculation puts the total DFT energy (no corrections) at -32.8 eV per cell. The calculation puts the magnetic moment at 0.0 μB per formula unit.

Unit cell a=3.941 b=3.941 c=3.655 alpha=90.00 beta=90.00 gamma=90.00
Space group P4/mmm (No. 123)
Unique sites:
Zr: 0.000 0.000 0.000
Ga: 0.500 0.500 0.500
N: 0.000 0.500 0.500
F: 0.500 0.500 0.000

Density functional theory data (PBE-GGA) for crystalline ZrGaN2F at its relaxed geometry.

Values from the calculation:
The value obtained for the calculated density is 4.479 g/cm3. The calculation puts the total DFT energy (no corrections) at -32.9 eV per cell. The calculation puts the magnetic moment at 0.8 μB per formula unit.

Unit cell a=4.269 b=4.269 c=4.230 alpha=90.00 beta=90.00 gamma=90.00
Space group P4/mmm (No. 123)
Unique sites:
Zr: 0.000 0.000 0.000
Ga: 0.500 0.500 0.500
N: 0.000 0.500 0.000
F: 0.000 0.000 0.500

Density functional theory data (PBE-GGA) for crystalline ZrGaNF2 at its relaxed geometry.

Values from the calculation:
The value obtained for the calculated density is 3.713 g/cm3. The calculation puts the total DFT energy (no corrections) at -27.7 eV per cell. The calculation puts the magnetic moment at 1.1 μB per formula unit.

Unit cell a=4.088 b=4.088 c=5.700 alpha=90.00 beta=90.00 gamma=90.00
Space group P4/mmm (No. 123)
Unique sites:
Zr: 0.000 0.000 0.000
Ga: 0.000 0.000 0.500
N: 0.500 0.500 0.500
F: 0.000 0.500 0.000

Density functional theory data (PBE-GGA) for crystalline Na6Ga3F14 at its relaxed geometry.

Values from the calculation:
The value obtained for the calculated density is 3.002 g/cm3. The calculation puts the total DFT energy (no corrections) at -103.4 eV per cell. The calculation puts the magnetic moment at 0.4 μB per formula unit.

Unit cell a=8.4632 b=8.4632 c=5.4672 alpha=90.00 beta=90.00 gamma=120.00
Space group P3 (No. 143)
Unique sites:
Na: 0.1085 0.7653 0.0000
Na: 0.4504 0.0740 0.5263
Ga: 0.0000 0.0000 0.4494
Ga: 0.3333 0.6667 0.4264
Ga: 0.6667 0.3333 0.9859
F: 0.0000 0.0000 0.7798
F: 0.1216 0.5409 0.2144
F: 0.2176 0.4488 0.6247
F: 0.2250 0.1125 0.3095
F: 0.4493 0.2875 0.8079
F: 0.6667 0.3333 0.3480

Density functional theory data (PBE-GGA) for crystalline Na2GaF5 at its relaxed geometry.

Values from the calculation:
The value obtained for the calculated density is 2.910 g/cm3. The calculation puts the total DFT energy (no corrections) at -147.9 eV per cell. The calculation puts the magnetic moment at 0.1 μB per formula unit.

Unit cell a=3.973 b=11.386 c=10.630 alpha=90.00 beta=90.00 gamma=90.00
Space group Cmcm (No. 63)
Unique sites:
Na: 0.000 0.139 0.068
Ga: 0.000 0.165 0.750
F: 0.000 0.050 0.625
F: 0.000 0.281 0.617
F: 0.000 0.313 0.250